1.
Below is a PBEsol-optimized structure of Li4SbTe2WO12, with properties calculated at the SCAN level.

- Raw formation energy: -1.7567 eV/atom
- Magnetization: 0.00 μB/cell
- Calculated total energy: -15.046 eV/atom

Lattice parameters (Å, degrees): 5.187 5.602 7.612 84.26 89.76 89.95
Positions (direct):
Li  0.000  0.000  0.000
Li  0.001  0.012  0.499
Li  0.484  0.512  0.004
Li  0.486  0.514  0.500
Sb  0.992  0.583  0.287
Te  0.491  0.086  0.280
Te  0.998  0.561  0.787
W  0.497  0.081  0.786
O  0.130  0.621  0.046
O  0.185  0.968  0.729
O  0.198  0.289  0.373
O  0.290  0.789  0.372
O  0.341  0.424  0.745
O  0.357  0.128  0.041
O  0.638  0.102  0.561
O  0.645  0.807  0.882
O  0.669  0.411  0.228
O  0.805  0.271  0.870
O  0.818  0.914  0.232
O  0.852  0.591  0.530



2.
Below is a PBEsol-optimized structure of Li4Ti3V3Sb2O16, with properties calculated at the SCAN level.

- Raw formation energy: -2.5503 eV/atom
- Magnetization: 5.00 μB/cell
- Calculated total energy: -12.705 eV/atom

Lattice parameters (Å, degrees): 5.840 5.840 10.314 90.14 90.14 59.98
Positions (direct):
Li  0.000  0.000  0.000
Li  0.003  0.003  0.493
Li  0.330  0.330  0.401
Li  0.665  0.665  0.898
Ti  0.169  0.659  0.721
Ti  0.659  0.169  0.721
Ti  0.827  0.827  0.225
V  0.174  0.174  0.718
V  0.356  0.817  0.220
V  0.817  0.356  0.220
Sb  0.329  0.329  0.012
Sb  0.665  0.665  0.505
O  0.001  0.001  0.312
O  0.017  0.489  0.821
O  0.154  0.154  0.118
O  0.161  0.684  0.111
O  0.307  0.851  0.609
O  0.338  0.338  0.610
O  0.488  0.488  0.822
O  0.489  0.017  0.821
O  0.509  0.509  0.327
O  0.512  0.974  0.330
O  0.671  0.671  0.106
O  0.684  0.161  0.111
O  0.845  0.845  0.606
O  0.851  0.307  0.609
O  0.974  0.512  0.330
O  0.998  0.998  0.817



3.
Below is a PBEsol-optimized structure of Li2V3SbO8, with properties calculated at the SCAN level.

- Relative energy among the computed polymorphs: 4.3 kJ per mole of atoms
- Raw formation energy: -2.3191 eV/atom
- Magnetization: 3.99 μB/cell
- Calculated total energy: -12.630 eV/atom

Lattice parameters (Å, degrees): 5.649 5.649 10.461 90.00 90.00 120.00
Positions (direct):
Li  0.000  0.000  0.000
Li  0.000  0.000  0.500
Li  0.333  0.667  0.410
Li  0.667  0.333  0.910
V  0.183  0.367  0.726
V  0.183  0.817  0.726
V  0.367  0.183  0.226
V  0.633  0.817  0.726
V  0.817  0.183  0.226
V  0.817  0.633  0.226
Sb  0.333  0.667  0.016
Sb  0.667  0.333  0.516
O  0.000  0.000  0.316
O  0.000  0.000  0.816
O  0.016  0.508  0.833
O  0.157  0.314  0.120
O  0.157  0.843  0.120
O  0.314  0.157  0.620
O  0.333  0.667  0.601
O  0.492  0.508  0.833
O  0.492  0.984  0.833
O  0.508  0.016  0.333
O  0.508  0.492  0.333
O  0.667  0.333  0.101
O  0.686  0.843  0.120
O  0.843  0.157  0.620
O  0.843  0.686  0.620
O  0.984  0.492  0.333